Compound: CuRh2Se
Source: the Alexandria database
Functional: PBE-GGA
Structure: relaxed

**Space-group type**: No. 8
**Total magnetization**: 0.000 μB per atom
**Calculated total energy**: -21.99 eV for the cell shown
**Energy relative to the elements, uncorrected**: 0.07 eV/atom
**Volume**: 58.29 Å³ per cell

Cell: 4.8902 4.8902 4.4105 Å, 72.56 72.56 35.61°
With the nearest neighbours (Å) after each atom.
Element x y z (fractional)
Rh1 0.0098 0.0098 0.9570  4 Se 2.53-2.80, 3 Cu 2.63-2.67
Rh2 0.2307 0.2307 0.3171  3 Se 2.54-2.70, 4 Cu 2.67-2.68
Cu1 0.7599 0.7599 0.7984  7 Rh 2.63-2.68, 2 Se 2.76
Se1 0.4996 0.4996 0.4275  7 Rh 2.53-2.80, 2 Cu 2.76